PBE TbSm2ErTh, relaxed; energy of formation = 1.563 eV/f.u.; space-group type = Pmma, No. 51; size of the total moment = 0.00 Bohr magnetons per cell; N(E_F) = 18.6 states/eV/cell
1.0
-4.940 4.618 -4.244
2.256 -2.955 -5.840
-4.369 -4.247 0.463
Th Sm Tb Er
2 4 2 2
Cartesian
-4.240 1.881 -2.589
-5.069 -1.510 -1.192
-5.959 -0.913 -4.106
-4.949 -2.234 -6.719
-2.104 -0.350 -2.903
-1.094 -1.671 -5.516
-2.184 -2.124 0.232
0.000 0.000 0.000
-4.217 1.436 -6.458
-2.836 -4.020 -3.163